# NaV2Pb2O7, optimized geometry, DFT GGA+U
# Total DFT energy (no corrections)   -6.458 eV/atom
# ρ   4.92 g/cm³
data_NaV2Pb2O7
_space_group_name_H-M_alt 'R 3 2'
_space_group_IT_number 155
_space_group_name_Hall 'R 3 2"'
_cell_length_a 5.7202
_cell_length_b 5.7202
_cell_length_c 23.2719
_cell_angle_alpha 90.00
_cell_angle_beta 90.00
_cell_angle_gamma 120.00
loop_
_atom_site_label
_atom_site_fract_x
_atom_site_fract_y
_atom_site_fract_z
_atom_site_occupancy
Na1 0.0000 0.0000 0.0000 1
V1 0.0000 0.0000 0.4213 1
Pb1 0.0000 0.0000 0.2153 1
O1 0.0000 0.0000 0.5000 1
O2 0.0220 0.3067 0.4004 1